Material: AcLa5Y2Tm
Method: DFT, PBE-GGA
State: relaxed

Cell: 8.014 8.014 10.513 Å, 90.00 90.00 90.00°
Fractional coordinates of all 18 atoms:
Ac 0.000 0.000 0.000
Ac 0.500 0.500 0.000
La 0.000 0.000 0.500
La 0.197 0.303 0.246
La 0.197 0.303 0.754
La 0.303 0.803 0.246
La 0.303 0.803 0.754
La 0.500 0.500 0.500
La 0.697 0.197 0.246
La 0.697 0.197 0.754
La 0.803 0.697 0.246
La 0.803 0.697 0.754
Y 0.131 0.631 0.500
Y 0.369 0.131 0.500
Y 0.631 0.869 0.500
Y 0.869 0.369 0.500
Tm 0.000 0.500 0.000
Tm 0.500 0.000 0.000



Material: AcLaY3Tm
Method: DFT, PBE-GGA
State: relaxed

Cell: 10.602 10.602 7.225 Å, 90.09 90.09 31.56°
Fractional coordinates of all 12 atoms:
Ac 0.147 0.147 0.467
Ac 0.853 0.853 0.533
La 0.446 0.446 0.783
La 0.554 0.554 0.217
Y 0.021 0.021 0.768
Y 0.281 0.281 0.757
Y 0.334 0.334 0.232
Y 0.666 0.666 0.768
Y 0.719 0.719 0.243
Y 0.979 0.979 0.232
Tm 0.151 0.151 0.024
Tm 0.849 0.849 0.976



Material: AcLaTmZn
Method: DFT, PBE-GGA
State: relaxed

Values from the calculation:
ΔE to the lowest computed polymorph	0	meV per atom

Cell: 3.715 3.715 9.064 Å, 90.00 90.00 90.00°
Fractional coordinates of all 4 atoms:
Ac 0.000 0.000 0.000
La 0.500 0.500 0.683
Tm 0.500 0.500 0.292
Zn 0.000 0.000 0.462



Material: AcLaTmZn
Method: DFT, PBE-GGA
State: relaxed

Values from the calculation:
ΔE to the lowest computed polymorph	292	meV per atom

Cell: 5.612 5.612 5.612 Å, 60.00 60.00 60.00°
Fractional coordinates of all 4 atoms:
Ac 0.000 0.000 0.000
La 0.750 0.750 0.750
Tm 0.250 0.250 0.250
Zn 0.500 0.500 0.500



Material: AcLa2V
Method: DFT, PBE-GGA
State: relaxed

Cell: 12.179 12.179 12.179 Å, 17.00 17.00 17.00°
Fractional coordinates of all 4 atoms:
Ac 0.000 0.000 0.000
La 0.422 0.422 0.422
La 0.578 0.578 0.578
V 0.500 0.500 0.500



Material: AcLa4Y3
Method: DFT, PBE-GGA
State: relaxed

Cell: 8.975 8.975 6.188 Å, 109.83 109.83 38.79°
Fractional coordinates of all 8 atoms:
Ac 0.000 0.000 0.000
La 0.139 0.139 0.592
La 0.256 0.256 0.189
La 0.744 0.744 0.811
La 0.861 0.861 0.408
Y 0.368 0.368 0.816
Y 0.500 0.500 0.500
Y 0.632 0.632 0.184



Material: Ac4La4Y
Method: DFT, PBE-GGA
State: relaxed

Cell: 9.138 9.138 13.179 Å, 104.03 104.03 43.16°
Fractional coordinates of all 18 atoms:
Ac 0.020 0.198 0.023
Ac 0.136 0.302 0.803
Ac 0.198 0.020 0.523
Ac 0.302 0.136 0.303
Ac 0.698 0.864 0.697
Ac 0.802 0.980 0.477
Ac 0.864 0.698 0.197
Ac 0.980 0.802 0.977
La 0.244 0.429 0.581
La 0.370 0.522 0.357
La 0.429 0.244 0.081
La 0.478 0.630 0.143
La 0.522 0.370 0.857
La 0.571 0.756 0.919
La 0.630 0.478 0.643
La 0.756 0.571 0.419
Y 0.090 0.910 0.750
Y 0.910 0.090 0.250



Material: AcLa3Y7
Method: DFT, PBE-GGA
State: relaxed

Values from the calculation:
ΔE to the lowest computed polymorph	0	meV per atom

Cell: 7.209 7.209 8.936 Å, 90.00 90.00 120.00°
Fractional coordinates of all 11 atoms:
Ac 0.000 0.000 0.000
La 0.167 0.334 0.659
La 0.167 0.833 0.659
La 0.666 0.833 0.659
Y 0.001 0.501 0.002
Y 0.333 0.667 0.322
Y 0.335 0.167 0.326
Y 0.499 0.501 0.002
Y 0.499 0.999 0.002
Y 0.833 0.167 0.326
Y 0.833 0.665 0.326



Number 1: E -4.852 eV per atom, formation energy 0.275 eV per atom. Number 2: E -5.273 eV per atom, formation energy 0.210 eV per atom. Number 3: E -3.821 eV per atom, formation energy -0.125 eV per atom. Number 4: E -3.529 eV per atom, formation energy 0.166 eV per atom. Number 5: E -5.098 eV per atom, formation energy 0.672 eV per atom. Number 6: E -5.313 eV per atom, formation energy 0.088 eV per atom. Number 7: E -4.692 eV per atom, formation energy 0.043 eV per atom. Number 8: E -5.640 eV per atom, formation energy 0.191 eV per atom.